15
Lattice="-1.284 -7.932 0.756 7.475 2.776 -1.264 -3.562 1.301 7.608" Properties=species:S:1:pos:R:3 comment="Na3Er3GeSe8, optimized geometry, DFT GGA-PBE" volume_a3_per_cell=400.96 m_tot_mub_per_atom=0.000 raw_formation_energy_ev_per_fu=-20.10 pbc="T T T"
Se 3.862 -2.362 4.769
Se 0.558 0.390 5.040
Er 1.956 2.038 3.172
Se 2.071 -4.245 2.058
Na 3.738 1.388 -0.632
Er -2.423 -3.315 4.182
Er 1.314 -1.928 3.549
Se 0.081 -3.597 5.481
Se 4.547 1.871 4.366
Na 0.000 0.000 0.000
Ge -1.781 0.651 3.804
Se -1.233 -1.493 2.330
Na 3.096 -2.578 -0.254
Se -1.918 -5.726 2.733
Se 2.547 -0.258 1.618

---

5
Lattice="-2.322 3.363 -1.720 -2.370 0.275 3.738 3.082 3.014 1.733" Properties=species:S:1:pos:R:3 comment="CuBP2S, optimized geometry, DFT GGA-PBE" volume_a3_per_cell=91.35 m_tot_mub_per_atom=0.000 polymorph_energy_ev_per_atom=0.692 raw_formation_energy_ev_per_fu=8.07 pbc="T T T"
B -0.805 3.326 1.875
S 1.541 1.507 0.866
P -1.161 1.682 -0.860
Cu 0.000 0.000 0.000
P -1.185 0.137 1.869

---

12
Lattice="5.193 0.040 -0.002 0.090 5.234 -0.005 0.006 0.010 7.399" Properties=species:S:1:pos:R:3 comment="RbScCd2F8, optimized geometry, DFT GGA-PBE" volume_a3_per_cell=201.05 m_tot_mub_per_atom=0.000 raw_formation_energy_ev_per_fu=-34.13 pbc="T T T"
F 3.700 3.868 -0.005
F 0.998 4.107 5.983
F 2.116 1.491 3.697
F 0.993 4.100 1.408
F 3.172 3.793 3.694
Cd 2.645 2.644 5.567
Cd 2.643 2.640 1.825
F 4.291 1.177 1.408
F 4.296 1.184 5.984
Rb 0.003 0.005 3.699
Sc 0.000 0.000 0.000
F 1.589 1.415 7.397

---

7
Lattice="4.819 0.000 0.000 0.000 4.819 0.000 2.410 2.410 8.413" Properties=species:S:1:pos:R:3 comment="Ce4Y2H, optimized geometry, DFT GGA-PBE" volume_a3_per_cell=195.38 m_tot_mub_per_atom=0.450 final_energy_ev_per_cell=-38.69 pbc="T T T"
Ce 2.410 0.000 0.000
Ce 0.000 2.410 0.000
Y 4.819 4.819 5.979
Ce 2.410 2.410 5.872
H 0.000 0.000 0.000
Y 2.410 2.410 2.434
Ce 4.819 4.819 2.542

---

7
Lattice="-0.054 -4.099 2.342 4.884 -0.211 -0.257 -1.872 4.308 7.498" Properties=species:S:1:pos:R:3 comment="BaCd4Sn2, optimized geometry, DFT GGA-PBE" volume_a3_per_cell=196.52 e_form_ev_per_atom=-0.256 m_tot_mub_per_atom=0.000 pbc="T T T"
Cd 0.347 2.558 4.485
Cd 0.186 -0.481 3.921
Ba 0.000 0.000 0.000
Sn 2.515 -1.415 2.341
Cd 2.772 0.479 5.661
Sn 0.442 1.413 7.242
Cd 2.665 1.539 2.755

---

5
Lattice="5.505 0.000 0.000 0.000 5.505 0.000 0.000 0.000 5.505" Properties=species:S:1:pos:R:3 comment="Ac3EuN, optimized geometry, DFT GGA-PBE" volume_a3_per_cell=166.81 m_tot_mub_per_atom=1.584 raw_formation_energy_ev_per_fu=-1.85 pbc="T T T"
Ac 0.000 0.000 2.752
Ac 2.752 0.000 0.000
N 0.000 0.000 0.000
Eu 2.752 2.752 2.752
Ac 0.000 2.752 0.000

---

12
Lattice="7.215 -0.003 0.000 -3.608 6.248 0.000 -1.203 -2.083 6.848" Properties=species:S:1:pos:R:3 comment="Pm3SmPu2Se6, optimized geometry, DFT GGA-PBE" volume_a3_per_cell=308.65 m_tot_mub_per_atom=0.965 raw_formation_energy_ev_per_fu=-21.00 pbc="T T T"
Se -0.018 4.163 5.164
Se 2.422 -0.001 1.685
Pm -2.415 4.170 3.424
Pu -0.002 4.165 0.000
Pu 3.608 2.080 0.000
Se 0.009 0.015 5.163
Pm 4.819 -0.008 3.424
Se 2.395 4.147 1.686
Sm 0.000 0.000 0.000
Se 3.615 2.065 5.164
Se -1.211 2.098 1.685
Pm 1.202 2.081 3.424

---

19
Lattice="8.640 0.701 0.840 -0.617 8.647 0.840 -0.617 -0.719 8.657" Properties=species:S:1:pos:R:3 comment="PrNd12Dy6, optimized geometry, DFT GGA-PBE" volume_a3_per_cell=660.21 e_form_ev_per_atom=0.131 m_tot_mub_per_atom=0.000 polymorph_energy_ev_per_atom=0.000 pbc="T T T"
Nd 7.602 7.176 7.019
Dy 0.263 5.934 2.913
Dy 5.661 8.094 3.978
Nd 2.928 6.666 5.663
Pr 0.000 0.000 0.000
Nd 3.000 0.262 2.022
Dy 5.826 2.659 1.662
Nd 3.520 5.070 2.766
Nd -0.196 1.452 3.318
Dy 7.143 2.694 7.424
Nd 4.478 1.962 4.674
Nd 6.145 4.874 4.854
Dy 1.580 5.970 8.675
Nd 1.465 3.260 0.619
Nd 5.941 5.369 9.718
Nd 3.886 3.558 7.571
Nd 1.260 3.754 5.483
Nd 4.406 8.366 8.315
Dy 1.745 0.534 6.359